Here is an optimized crystal structure of Ba3In2As4 from the Alexandria database. Energies are from PBE.

Unit cell a=4.5250 b=7.9029 c=10.3708 alpha=122.54 beta=90.00 gamma=106.64
Closest atoms and distances in Å follow each position.
Positions (direct):
Ba: 0.3699 0.7399 0.2574  3 As 3.24-3.25
Ba: 0.0000 0.0000 0.0000  6 As 3.29-3.58
Ba: 0.6301 0.2601 0.7426  3 As 3.24-3.25
As: 0.1001 0.2003 0.4051  3 In 2.80-2.83
As: 0.6840 0.3681 0.0920  1 In 2.63
As: 0.3160 0.6319 0.9080  1 In 2.63
As: 0.8999 0.7997 0.5949  3 In 2.80-2.83
In: 0.6844 0.3687 0.3456  4 As 2.63-2.83
In: 0.3156 0.6313 0.6544  4 As 2.63-2.83

Properties
D(E_F) ... 0.07 states/eV per atom
Excess energy over the best structure of this formula in the dataset ... 0.0 meV/atom
Symmetry ... C2/m
E ... -37.21 eV for the cell shown
Formation energy from the elements ... -0.8183 eV/atom